Entry 1:
# Ac10Pm4Nd | the Alexandria database | GGA-PBE | optimized geometry
data_Ac10Pm4Nd
_cell_length_a 13.168
_cell_length_b 13.168
_cell_length_c 8.305
_cell_angle_alpha 90.00
_cell_angle_beta 90.00
_cell_angle_gamma 90.00
_space_group_name_H-M_alt 'I 4/m'
_space_group_IT_number 87
_space_group_name_Hall '-I 4'
loop_
_atom_site_label
_atom_site_type_symbol
_atom_site_fract_x
_atom_site_fract_y
_atom_site_fract_z
Ac1 Ac 0.000 0.500 0.250
Ac2 Ac 0.100 0.800 0.250
Pm1 Pm 0.100 0.300 0.000
Nd1 Nd 0.000 0.000 0.500
# Crystal system: tetragonal
# Formation energy in eV per atom: 0.584


Entry 2:
# MgCoRu2 | the Alexandria database | GGA-PBE | optimized geometry
data_MgCoRu2
_cell_length_a 2.992
_cell_length_b 4.274
_cell_length_c 8.573
_cell_angle_alpha 90.00
_cell_angle_beta 90.00
_cell_angle_gamma 90.00
_space_group_name_H-M_alt 'I m m 2'
_space_group_IT_number 44
_space_group_name_Hall 'I 2 -2'
loop_
_atom_site_label
_atom_site_type_symbol
_atom_site_fract_x
_atom_site_fract_y
_atom_site_fract_z
Mg1 Mg 0.000 0.000 0.000
Co1 Co 0.000 0.500 0.747
Ru1 Ru 0.000 0.000 0.489
Ru2 Ru 0.000 0.500 0.239
# Crystal system: orthorhombic
# Formation energy in eV per atom: 0.180


Entry 3:
# PaSeClO | the Alexandria database | GGA-PBE | optimized geometry
data_PaSeClO
_cell_length_a 6.685
_cell_length_b 3.860
_cell_length_c 7.825
_cell_angle_alpha 90.00
_cell_angle_beta 106.64
_cell_angle_gamma 90.00
_space_group_name_H-M_alt 'C 1 m 1'
_space_group_IT_number 8
_space_group_name_Hall 'C -2y'
loop_
_atom_site_label
_atom_site_type_symbol
_atom_site_fract_x
_atom_site_fract_y
_atom_site_fract_z
Pa1 Pa 0.000 0.000 0.000
Se1 Se 0.250 0.000 0.753
Cl1 Cl 0.423 0.000 0.267
O1 O 0.175 0.500 0.024
# Crystal system: monoclinic
# Uncorrected formation energy in kJ per mole of atoms: -220.05